(1)
Entry from Alexandria via LeMat-Bulk: a relaxed Pm4HgRh crystal (PBE-GGA).

Properties
For the energy above the most stable polymorph in this dataset, the calculation gives 0 meV/atom. The symmetry is F-43m.

Cell lengths 9.8356, 9.8356, 9.8356 Å; angles 60.00, 60.00, 60.00 degrees
Sites, in units of the cell vectors:
Pm 0.3993 0.3993 0.3993
Pm 0.8022 0.3993 0.3993
Pm 0.3993 0.8022 0.3993
Pm 0.3993 0.3993 0.8022
Pm 0.5596 0.5596 0.9404
Pm 0.9404 0.9404 0.5596
Pm 0.5596 0.9404 0.5596
Pm 0.9404 0.5596 0.9404
Pm 0.9404 0.5596 0.5596
Pm 0.5596 0.9404 0.9404
Pm 0.1875 0.1875 0.8125
Pm 0.8125 0.8125 0.1875
Pm 0.1875 0.8125 0.1875
Pm 0.8125 0.1875 0.8125
Pm 0.8125 0.1875 0.1875
Pm 0.1875 0.8125 0.8125
Hg 0.1660 0.1660 0.1660
Hg 0.5021 0.1660 0.1660
Hg 0.1660 0.5021 0.1660
Hg 0.1660 0.1660 0.5021
Rh 0.6077 0.6077 0.6077
Rh 0.1770 0.6077 0.6077
Rh 0.6077 0.1770 0.6077
Rh 0.6077 0.6077 0.1770


(2)
Entry from Alexandria via LeMat-Bulk: a relaxed Pm5Hg2Rh2 crystal (PBE-GGA).

Properties
The symmetry is Cmce.

Cell lengths 7.9647, 7.5976, 8.8956 Å; angles 115.28, 90.00, 90.00 degrees
Sites, in units of the cell vectors:
Pm 0.0000 0.0000 0.0000
Pm 0.5000 0.5000 0.0000
Pm 0.8270 0.7914 0.2443
Pm 0.1730 0.4529 0.2443
Pm 0.3270 0.9529 0.2443
Pm 0.6730 0.2914 0.2443
Pm 0.1730 0.2086 0.7557
Pm 0.8270 0.5471 0.7557
Pm 0.6730 0.0471 0.7557
Pm 0.3270 0.7086 0.7557
Hg 0.0000 0.2140 0.4280
Hg 0.5000 0.7140 0.4280
Hg 0.0000 0.7860 0.5720
Hg 0.5000 0.2860 0.5720
Rh 0.6316 0.8693 0.0000
Rh 0.3684 0.1307 0.0000
Rh 0.1316 0.6307 0.0000
Rh 0.8684 0.3693 0.0000


(3)
Entry from Alexandria via LeMat-Bulk: a relaxed Pm6HgRh5 crystal (PBE-GGA).

Properties
For the energy above the most stable polymorph in this dataset, the calculation gives 0 meV/atom. The symmetry is P2/m.

Cell lengths 5.0148, 7.2074, 7.9304 Å; angles 90.00, 108.35, 90.00 degrees
Sites, in units of the cell vectors:
Rh 0.6673 0.5000 0.3356
Rh 0.3360 0.0000 0.6710
Rh 0.0000 0.5000 0.0000
Rh 0.6640 0.0000 0.3290
Rh 0.3327 0.5000 0.6644
Hg 0.0000 0.0000 0.0000
Pm 0.8283 0.7457 0.6566
Pm 0.8283 0.2543 0.6566
Pm 0.5000 0.2638 0.0000
Pm 0.5000 0.7362 0.0000
Pm 0.1717 0.7457 0.3434
Pm 0.1717 0.2543 0.3434


(4)
Entry from Alexandria via LeMat-Bulk: a relaxed Pm2HgRh crystal (PBE-GGA).

Properties
For the energy above the most stable polymorph in this dataset, the calculation gives 63 meV/atom. The symmetry is Fm-3m.

Cell lengths 5.1826, 5.1826, 5.1826 Å; angles 60.00, 60.00, 60.00 degrees
Sites, in units of the cell vectors:
Rh 0.0000 0.0000 0.0000
Hg 0.5000 0.5000 0.5000
Pm 0.2500 0.2500 0.2500
Pm 0.7500 0.7500 0.7500


(5)
Entry from Alexandria via LeMat-Bulk: a relaxed PmHgRh crystal (PBE-GGA).

Properties
For the energy above the most stable polymorph in this dataset, the calculation gives 129 meV/atom. The symmetry is F-43m.

Cell lengths 4.7294, 4.7294, 4.7294 Å; angles 60.00, 60.00, 60.00 degrees
Sites, in units of the cell vectors:
Rh 0.2500 0.2500 0.2500
Hg 0.5000 0.5000 0.5000
Pm 0.0000 0.0000 0.0000


(6)
Entry from Alexandria via LeMat-Bulk: a relaxed Pm4HgRh crystal (PBE-GGA).

Properties
For the energy above the most stable polymorph in this dataset, the calculation gives 84 meV/atom. The symmetry is C2/c.

Cell lengths 6.1738, 8.3568, 8.2842 Å; angles 113.77, 103.63, 105.77 degrees
Sites, in units of the cell vectors:
Pm 0.0413 0.2086 0.8598
Pm 0.7789 0.7016 0.6327
Pm 0.3185 0.6511 0.8598
Pm 0.3538 0.9311 0.6327
Pm 0.6462 0.0689 0.3673
Pm 0.6815 0.3489 0.1402
Pm 0.2211 0.2984 0.3673
Pm 0.9587 0.7914 0.1402
Hg 0.3725 0.6225 0.2451
Hg 0.6275 0.3775 0.7549
Rh 0.2483 0.9983 0.9966
Rh 0.7517 0.0017 0.0034


no.,electronic total energy (Ry/atom),formation energy from the elements (meV per atom),DOS at the Fermi energy (states/eV/cell)
1,-0.36236,-488,16.9
2,-0.36029,-562,12.1
3,-0.44852,-639,6.3
4,-0.35430,-532,2.2
5,-0.33815,-466,1.0
6,-0.35622,-404,13.8